DFT (GGA-PBE) results for a relaxed structure of Tm2Ge3Pt2.

Cell and atoms, written as POSCAR:
```
Tm2Ge3Pt2
1.0
-1.679 3.795 0.379
-1.536 0.006 -6.863
-7.249 -5.657 1.617
Tm Ge Pt
4 6 4
Cartesian
-2.889 -1.163 -1.156 Tm
-8.434 -1.452 0.085 Tm
-7.575 -0.692 -3.710 Tm
-2.030 -0.403 -4.951 Tm
-8.512 -3.283 -4.828 Ge
-1.952 1.428 -0.038 Ge
-2.517 1.430 -2.562 Ge
-4.768 -1.675 -4.340 Ge
-5.696 -0.180 -0.527 Ge
-7.947 -3.286 -2.304 Ge
-5.032 -2.306 0.795 Pt
-5.432 0.451 -5.661 Pt
-5.660 -2.303 -2.009 Pt
-4.804 0.448 -2.857 Pt
```

- total magnetic moment (μB per atom) = 0.000
- formation energy (eV/atom) = -0.865
- space-group type = Cmcm


DFT (GGA-PBE) results for a relaxed structure of Pr2B2Ru2C.

Cell and atoms, written as POSCAR:
```
Pr2B2Ru2C
1.0
3.780 0.000 0.000
1.890 5.504 -0.295
1.890 1.769 5.466
Ru B C Pr
2 2 1 2
Cartesian
3.780 1.864 0.413 Ru
3.780 5.408 4.758 Ru
1.890 2.450 1.139 B
5.670 4.823 4.032 B
0.000 0.000 0.000 C
3.780 5.015 1.520 Pr
3.780 2.258 3.650 Pr
```

- total magnetic moment (μB per atom) = 0.000
- formation energy (eV/atom) = -0.370
- space-group type = C2/m


DFT (GGA-PBE) results for a relaxed structure of Cs2RbGaPt.

Cell and atoms, written as POSCAR:
```
Cs2RbGaPt
1.0
7.068 0.000 0.000
0.000 7.068 0.000
0.000 0.000 4.932
Rb Ga Pt Cs
1 1 1 2
Cartesian
3.534 3.534 2.466 Rb
0.000 0.000 2.466 Ga
0.000 0.000 0.000 Pt
0.000 3.534 0.000 Cs
3.534 0.000 0.000 Cs
```

- total magnetic moment (μB per atom) = 0.000
- formation energy (eV/atom) = -0.063
- space-group type = P4/mmm


DFT (GGA-PBE) results for a relaxed structure of LiEu2Ge3.

Cell and atoms, written as POSCAR:
```
LiEu2Ge3
1.0
4.492 0.000 0.000
0.000 10.956 0.000
0.000 0.000 11.609
Li Eu Ge
4 8 12
Cartesian
2.246 1.519 2.518 Li
0.000 6.996 3.287 Li
2.246 9.437 9.091 Li
0.000 3.959 8.323 Li
2.246 1.952 10.805 Eu
0.000 3.526 5.000 Eu
0.000 0.559 7.530 Eu
0.000 7.429 6.609 Eu
0.000 10.396 4.079 Eu
2.246 4.919 1.725 Eu
2.246 6.037 9.884 Eu
2.246 9.004 0.805 Eu
2.246 8.271 4.154 Ge
0.000 0.304 1.204 Ge
0.000 8.163 9.959 Ge
0.000 10.651 10.405 Ge
2.246 1.223 5.291 Ge
2.246 5.173 7.009 Ge
2.246 2.685 7.455 Ge
2.246 9.733 6.318 Ge
0.000 4.255 11.096 Ge
2.246 5.782 4.600 Ge
0.000 2.793 1.650 Ge
0.000 6.701 0.513 Ge
```

- total magnetic moment (μB per atom) = 0.004
- formation energy (eV/atom) = -0.611
- space-group type = Pnnm


DFT (GGA-PBE) results for a relaxed structure of CoRu4.

Cell and atoms, written as POSCAR:
```
CoRu4
1.0
-1.560 -3.224 -2.903
-1.516 1.448 4.106
-0.871 3.769 -2.507
Co Ru
1 4
Cartesian
0.000 0.000 0.000 Co
-1.467 1.285 -1.855 Ru
-2.479 0.708 0.550 Ru
-2.026 -1.232 -1.154 Ru
-1.921 3.225 -0.150 Ru
```

- total magnetic moment (μB per atom) = 0.000
- formation energy (eV/atom) = 0.132
- space-group type = I4/m
- polymorph energy (0 for the lowest one) (eV/atom) = 0.0000


DFT (GGA-PBE) results for a relaxed structure of FePb4Br.

Cell and atoms, written as POSCAR:
```
FePb4Br
1.0
0.000 4.554 4.554
4.554 0.000 4.554
4.554 4.554 0.000
Fe Pb Br
1 4 1
Cartesian
0.000 0.000 0.000 Fe
3.408 5.700 5.700 Pb
3.408 3.408 3.408 Pb
5.700 5.700 3.408 Pb
5.700 3.408 5.700 Pb
6.831 6.831 6.831 Br
```

- total magnetic moment (μB per atom) = 0.529
- VASP energy (eV/atom) = -3.617
- space-group type = F-43m


Repeat the second record exactly.
DFT (GGA-PBE) results for a relaxed structure of Pr2B2Ru2C.

Cell and atoms, written as POSCAR:
```
Pr2B2Ru2C
1.0
3.780 0.000 0.000
1.890 5.504 -0.295
1.890 1.769 5.466
Ru B C Pr
2 2 1 2
Cartesian
3.780 1.864 0.413 Ru
3.780 5.408 4.758 Ru
1.890 2.450 1.139 B
5.670 4.823 4.032 B
0.000 0.000 0.000 C
3.780 5.015 1.520 Pr
3.780 2.258 3.650 Pr
```

- total magnetic moment (μB per atom) = 0.000
- formation energy (eV/atom) = -0.370
- space-group type = C2/m